First-principles (GGA+U) data for crystalline CrPNF2 at its relaxed geometry, as listed in Alexandria.

Cell: 3.8033 3.8033 4.3079 Å, 90.00 90.00 90.00°
Last column: nearest neighbours and their distance in Å.
Element x y z (fractional)
Cr (0.0000, 0.0000, 0.0000)  4 F 1.90
P (0.5000, 0.5000, 0.5000)  4 N 2.69, 8 F 2.87
N (0.0000, 0.0000, 0.5000)  2 Cr 2.15
F (0.0000, 0.5000, 0.0000)  2 Cr 1.90
F (0.5000, 0.0000, 0.0000)  2 Cr 1.90

Summary:
Electronic total energy in eV per atom: -5.427